No. 1
Entry from Alexandria via LeMat-Bulk: a relaxed structure of LaSn2Mo2 (PBE).

Cell and atoms, written as POSCAR:
```
LaSn2Mo2
1.0
8.286 0.000 0.000
0.000 8.286 0.000
0.000 0.000 3.224
La Sn Mo
2 4 4
direct
0.000 0.000 0.000
0.500 0.500 0.000
0.180 0.320 0.500
0.320 0.820 0.500
0.680 0.180 0.500
0.820 0.680 0.500
0.104 0.604 0.000
0.396 0.104 0.000
0.604 0.896 0.000
0.896 0.396 0.000
```

Computed properties:
The total energy comes out at -6.840 eV/atom. The formation energy comes out at 0.079 eV per atom. The offset from the most stable computed form comes out at 108 meV per atom.



No. 2
Entry from Alexandria via LeMat-Bulk: a relaxed structure of LaSnMo3 (PBE).

Cell and atoms, written as POSCAR:
```
LaSnMo3
1.0
5.016 0.000 0.000
0.000 5.016 0.000
0.000 0.000 5.016
La Sn Mo
1 1 3
direct
0.000 0.000 0.000
0.500 0.500 0.500
0.000 0.500 0.500
0.500 0.000 0.500
0.500 0.500 0.000
```

Computed properties:
The total energy comes out at -6.725 eV/atom. The formation energy comes out at 1.560 eV per atom. The offset from the most stable computed form comes out at 0 meV per atom.



No. 3
Entry from Alexandria via LeMat-Bulk: a relaxed structure of La2SnTeMo (PBE).

Cell and atoms, written as POSCAR:
```
La2SnTeMo
1.0
5.508 0.000 0.000
0.000 5.508 0.000
0.000 0.000 5.181
La Sn Te Mo
2 1 1 1
direct
0.000 0.500 0.000
0.500 0.000 0.000
0.000 0.000 0.500
0.500 0.500 0.500
0.000 0.000 0.000
```

Computed properties:
The total energy comes out at -5.914 eV/atom. The uncorrected formation energy comes out at -0.348 eV/atom.



Question: What is the formula in the third record?
Answer: La2SnTeMo



Repeat the first record exactly.
Entry from Alexandria via LeMat-Bulk: a relaxed structure of LaSn2Mo2 (PBE).

Cell and atoms, written as POSCAR:
```
LaSn2Mo2
1.0
8.286 0.000 0.000
0.000 8.286 0.000
0.000 0.000 3.224
La Sn Mo
2 4 4
direct
0.000 0.000 0.000
0.500 0.500 0.000
0.180 0.320 0.500
0.320 0.820 0.500
0.680 0.180 0.500
0.820 0.680 0.500
0.104 0.604 0.000
0.396 0.104 0.000
0.604 0.896 0.000
0.896 0.396 0.000
```

Computed properties:
The total energy comes out at -6.840 eV/atom. The formation energy comes out at 0.079 eV per atom. The offset from the most stable computed form comes out at 108 meV per atom.



Copy entry 2 word for word.
Entry from Alexandria via LeMat-Bulk: a relaxed structure of LaSnMo3 (PBE).

Cell and atoms, written as POSCAR:
```
LaSnMo3
1.0
5.016 0.000 0.000
0.000 5.016 0.000
0.000 0.000 5.016
La Sn Mo
1 1 3
direct
0.000 0.000 0.000
0.500 0.500 0.500
0.000 0.500 0.500
0.500 0.000 0.500
0.500 0.500 0.000
```

Computed properties:
The total energy comes out at -6.725 eV/atom. The formation energy comes out at 1.560 eV per atom. The offset from the most stable computed form comes out at 0 meV per atom.